Entry from the Alexandria database: HfFeIr2 after structural relaxation (GGA-PBE).

Unit cell a=3.953 b=3.953 c=17.393 alpha=90.00 beta=90.00 gamma=90.00
Fractional coordinates of all 16 atoms:
Hf (0.000, 0.000, 0.000)
Hf (0.000, 0.500, 0.250)
Hf (0.500, 0.000, 0.750)
Hf (0.500, 0.500, 0.500)
Fe (0.000, 0.000, 0.500)
Fe (0.000, 0.500, 0.750)
Fe (0.500, 0.000, 0.250)
Fe (0.500, 0.500, 0.000)
Ir (0.211, 0.250, 0.625)
Ir (0.250, 0.711, 0.875)
Ir (0.250, 0.789, 0.375)
Ir (0.289, 0.250, 0.125)
Ir (0.711, 0.750, 0.125)
Ir (0.750, 0.211, 0.375)
Ir (0.750, 0.289, 0.875)
Ir (0.789, 0.750, 0.625)

## Properties
For the total DFT energy (no corrections), the calculation gives -8.9716 eV/atom. The formation energy comes out at 63 meV per atom. The value obtained for the magnetization is 9.07 μB/cell.